Entry a
GGA-PBE Pr3Nd3Te2Os, relaxed; spin magnetization = 0.02 μB/cell; SG = P-62m, No. 189
1.0
8.7008 0.0000 0.0000
-4.3504 7.5351 0.0000
0.0000 0.0000 4.0737
Pr Nd Te Os
3 3 2 1
direct
0.0000 0.7592 0.0000
0.2408 0.2408 0.0000
0.7592 0.0000 0.0000
0.0000 0.4044 0.5000
0.4044 0.0000 0.5000
0.5956 0.5956 0.5000
0.3333 0.6667 0.0000
0.6667 0.3333 0.0000
0.0000 0.0000 0.5000

***

Entry b
GGA-PBE Pr3Nd3Te2Os, relaxed; spin magnetization = 0.02 μB/cell; SG = P-62m, No. 189
1.0
8.6922 0.0000 0.0000
-4.3461 7.5277 0.0000
0.0000 0.0000 4.0779
Pr Nd Te Os
3 3 2 1
direct
0.0000 0.4043 0.0000
0.4043 0.0000 0.0000
0.5957 0.5957 0.0000
0.0000 0.7598 0.5000
0.2402 0.2402 0.5000
0.7598 0.0000 0.5000
0.3333 0.6667 0.5000
0.6667 0.3333 0.5000
0.0000 0.0000 0.0000

***

Quick one: least stable of them? entry a

***

Entry a
GGA-PBE NdScOs, relaxed; spin magnetization = 0.00 μB/cell; SG = F-43m, No. 216
1.0
0.0000 3.2977 3.2977
3.2977 0.0000 3.2977
3.2977 3.2977 0.0000
Nd Sc Os
1 1 1
direct
0.0000 0.0000 0.0000
0.2500 0.2500 0.2500
0.7500 0.7500 0.7500

***

Entry b
GGA-PBE NdScOs, relaxed; spin magnetization = 0.00 μB/cell; SG = F-43m, No. 216
1.0
0.0000 3.2590 3.2590
3.2590 0.0000 3.2590
3.2590 3.2590 0.0000
Nd Sc Os
1 1 1
direct
0.0000 0.0000 0.0000
0.2500 0.2500 0.2500
0.5000 0.5000 0.5000

***

Quick one: least stable of them? entry a

***

Entry a
GGA-PBE NdTmSi2Os, relaxed; spin magnetization = 0.27 μB/cell; SG = C2/m, No. 12
1.0
5.3385 -2.1262 0.0000
5.3385 2.1262 0.0000
-4.8194 0.0000 8.8925
Nd Tm Si Os
2 2 4 2
direct
0.1909 0.1909 0.1093
0.8091 0.8091 0.8907
0.0016 0.0016 0.6731
0.9984 0.9984 0.3269
0.3567 0.3567 0.4405
0.4985 0.4985 0.8687
0.5015 0.5015 0.1313
0.6433 0.6433 0.5595
0.2681 0.2681 0.6230
0.7319 0.7319 0.3770

***

Entry b
GGA-PBE NdTmSi2Os, relaxed; spin magnetization = 0.02 μB/cell; SG = C2/m, No. 12
1.0
5.5595 -2.1170 0.0000
5.5595 2.1170 0.0000
-5.1172 0.0000 8.7358
Nd Tm Si Os
2 2 4 2
direct
0.0169 0.0169 0.1833
0.9831 0.9831 0.8167
0.1762 0.1762 0.6093
0.8238 0.8238 0.3907
0.3452 0.3452 0.9358
0.4986 0.4986 0.3760
0.5014 0.5014 0.6240
0.6548 0.6548 0.0642
0.2745 0.2745 0.1283
0.7255 0.7255 0.8717

***

Quick one: least stable of them? entry b